Entry from Alexandria via LeMat-Bulk: crystalline NaSn2GeSe6 at its relaxed geometry (GGA-PBE).

a = 7.650 Å, b = 9.374 Å, c = 9.374 Å
α = 82.44°, β = 74.53°, γ = 74.53°
Each line ends with the local moment (μB).
Atoms (fractional coordinates):
Se  0.035  0.699  0.559  0.01
Sn  0.299  0.791  0.621  0.00
Sn  0.201  0.379  0.209  0.00
Se  0.910  0.366  0.918  0.12
Na  0.750  0.139  0.861  0.00
Sn  0.799  0.621  0.791  0.00
Se  0.355  0.168  0.030  0.03
Ge  0.250  0.209  0.791  0.09
Se  0.090  0.634  0.082  0.12
Na  0.250  0.861  0.139  0.00
Se  0.590  0.082  0.634  0.12
Se  0.965  0.301  0.441  0.01
Se  0.645  0.832  0.970  0.03
Se  0.465  0.441  0.301  0.01
Se  0.855  0.030  0.168  0.03
Ge  0.750  0.791  0.209  0.09
Sn  0.701  0.209  0.379  0.00
Se  0.535  0.559  0.699  0.01
Se  0.145  0.970  0.832  0.03
Se  0.410  0.918  0.366  0.12

Computed properties:
SG: C2/c
ΔE_f (raw) (eV per atom): -0.35

---

Entry from Alexandria via LeMat-Bulk: crystalline Mn2FeCo at its relaxed geometry (GGA-PBE).

a = 2.470 Å, b = 2.470 Å, c = 7.113 Å
α = 90.00°, β = 90.00°, γ = 90.00°
Each line ends with the local moment (μB).
Atoms (fractional coordinates):
Mn  0.500  0.500  0.258  0.76
Co  0.000  0.000  0.494  0.09
Mn  0.000  0.000  0.999  -1.78
Fe  0.500  0.500  0.748  1.79

Computed properties:
SG: P4mm
Formation energy from the elements (eV per atom): 0.060